# 1
A plane-wave DFT calculation with GGA-PBE was carried out for a relaxed structure of LuAlCoW.

Lattice parameters (Å, degrees): 4.5140 4.5140 4.5140 60.00 60.00 60.00
Last column: nearest neighbours and their distance in Å.
Element x y z (fractional)
Lu  0.0000  0.0000  0.0000  4 W 2.76, 4 Co 2.76
Al  0.5000  0.5000  0.5000  4 Co 2.76, 4 W 2.76
Co  0.7500  0.7500  0.7500  4 Al 2.76, 4 Lu 2.76
W  0.2500  0.2500  0.2500  4 Al 2.76, 4 Lu 2.76

The space-group type is No. 216. Its energy above the most stable polymorph in this dataset is 0.0 meV per atom. Its total DFT energy (no corrections) is -6.79 eV/atom.


# 2
A plane-wave DFT calculation with GGA-PBE was carried out for a relaxed structure of LuAlZnCo.

Lattice parameters (Å, degrees): 4.4671 4.4671 4.4671 60.00 60.00 60.00
Last column: nearest neighbours and their distance in Å.
Element x y z (fractional)
Lu  0.0000  0.0000  0.0000  4 Co 2.74, 4 Zn 2.74
Al  0.5000  0.5000  0.5000  4 Co 2.74, 4 Zn 2.74
Zn  0.2500  0.2500  0.2500  4 Al 2.74, 4 Lu 2.74
Co  0.7500  0.7500  0.7500  4 Al 2.74, 4 Lu 2.74

The space-group type is No. 216. Its energy above the most stable polymorph in this dataset is 0.0 meV per atom. Its total DFT energy (no corrections) is -4.43 eV/atom.


# 3
A plane-wave DFT calculation with GGA-PBE was carried out for a relaxed structure of LuAlZnCo.

Lattice parameters (Å, degrees): 4.4727 4.4727 4.4727 60.00 60.00 60.00
Last column: nearest neighbours and their distance in Å.
Element x y z (fractional)
Lu  0.0000  0.0000  0.0000  4 Al 2.74, 4 Zn 2.74
Al  0.2500  0.2500  0.2500  4 Co 2.74, 4 Lu 2.74
Zn  0.7500  0.7500  0.7500  4 Co 2.74, 4 Lu 2.74
Co  0.5000  0.5000  0.5000  4 Zn 2.74, 4 Al 2.74

The space-group type is No. 216. Its energy above the most stable polymorph in this dataset is 104.9 meV per atom. Its total DFT energy (no corrections) is -4.33 eV/atom.


# 4
A plane-wave DFT calculation with GGA-PBE was carried out for a relaxed structure of Mg16Al12Co.

Lattice parameters (Å, degrees): 9.0456 9.0456 9.0456 109.47 109.47 109.47
Last column: nearest neighbours and their distance in Å.
Element x y z (fractional)
Mg  0.0000  0.0000  0.6774  1 Co 2.92, 6 Al 2.97, 3 Mg 3.08
Mg  0.0000  0.4023  0.6881  5 Al 2.93-3.12, 7 Mg 3.08-3.15
Mg  0.0000  0.6774  0.0000  1 Co 2.92, 6 Al 2.97, 3 Mg 3.08
Mg  0.0000  0.6881  0.4023  5 Al 2.93-3.12, 7 Mg 3.08-3.15
Mg  0.2858  0.5977  0.5977  5 Al 2.93-3.12, 7 Mg 3.08-3.15
Mg  0.3119  0.3119  0.7142  5 Al 2.93-3.12, 7 Mg 3.08-3.15
Mg  0.3119  0.7142  0.3119  5 Al 2.93-3.12, 7 Mg 3.08-3.15
Mg  0.3226  0.3226  0.3226  1 Co 2.92, 6 Al 2.97, 3 Mg 3.08
Mg  0.4023  0.0000  0.6881  5 Al 2.93-3.12, 7 Mg 3.08-3.15
Mg  0.4023  0.6881  0.0000  5 Al 2.93-3.12, 7 Mg 3.08-3.15
Mg  0.5977  0.2858  0.5977  5 Al 2.93-3.12, 7 Mg 3.08-3.15
Mg  0.5977  0.5977  0.2858  5 Al 2.93-3.12, 7 Mg 3.08-3.15
Mg  0.6774  0.0000  0.0000  1 Co 2.92, 6 Al 2.97, 3 Mg 3.08
Mg  0.6881  0.0000  0.4023  5 Al 2.93-3.12, 7 Mg 3.08-3.15
Mg  0.6881  0.4023  0.0000  5 Al 2.93-3.12, 7 Mg 3.08-3.15
Mg  0.7142  0.3119  0.3119  5 Al 2.93-3.12, 7 Mg 3.08-3.15
Al  0.0000  0.1849  0.3648  3 Al 2.66-2.73, 5 Mg 2.93-2.97
Al  0.0000  0.3648  0.1849  3 Al 2.66-2.73, 5 Mg 2.93-2.97
Al  0.1799  0.8151  0.8151  3 Al 2.66-2.73, 5 Mg 2.93-2.97
Al  0.1849  0.0000  0.3648  3 Al 2.66-2.73, 5 Mg 2.93-2.97
Al  0.1849  0.3648  0.0000  3 Al 2.66-2.73, 5 Mg 2.93-2.97
Al  0.3648  0.0000  0.1849  3 Al 2.66-2.73, 5 Mg 2.93-2.97
Al  0.3648  0.1849  0.0000  3 Al 2.66-2.73, 5 Mg 2.93-2.97
Al  0.6352  0.6352  0.8201  3 Al 2.66-2.73, 5 Mg 2.93-2.97
Al  0.6352  0.8201  0.6352  3 Al 2.66-2.73, 5 Mg 2.93-2.97
Al  0.8151  0.1799  0.8151  3 Al 2.66-2.73, 5 Mg 2.93-2.97
Al  0.8151  0.8151  0.1799  3 Al 2.66-2.73, 5 Mg 2.93-2.97
Al  0.8201  0.6352  0.6352  3 Al 2.66-2.73, 5 Mg 2.93-2.97
Co  0.0000  0.0000  0.0000  4 Mg 2.92, 12 Al 3.16

The space-group type is No. 217. Its energy above the most stable polymorph in this dataset is 51.1 meV per atom. Its total DFT energy (no corrections) is -2.62 eV/atom.


# 5
A plane-wave DFT calculation with GGA-PBE was carried out for a relaxed structure of Mg16Al12Co.

Lattice parameters (Å, degrees): 8.9414 8.9414 8.9414 108.81 108.81 108.81
Last column: nearest neighbours and their distance in Å.
Element x y z (fractional)
Mg  0.0000  0.0000  0.0000  1 Co 2.50
Mg  0.0125  0.0125  0.6574  4 Mg 2.95-3.14, 6 Al 3.02-3.19
Mg  0.0125  0.6574  0.0125  4 Mg 2.95-3.14, 6 Al 3.02-3.19
Mg  0.0195  0.4171  0.6911  5 Al 2.87-3.06, 5 Mg 3.02-3.21
Mg  0.0195  0.6911  0.4171  5 Al 2.87-3.06, 5 Mg 3.02-3.21
Mg  0.3192  0.5740  0.5740  5 Al 2.91-3.20, 1 Co 2.94, 4 Mg 3.01-3.25
Mg  0.3280  0.3280  0.7371  7 Mg 2.95-3.05, 5 Al 3.02-3.06
Mg  0.3280  0.7371  0.3280  7 Mg 2.95-3.05, 5 Al 3.02-3.06
Mg  0.4171  0.0195  0.6911  5 Al 2.87-3.06, 5 Mg 3.02-3.21
Mg  0.4171  0.6911  0.0195  5 Al 2.87-3.06, 5 Mg 3.02-3.21
Mg  0.5740  0.3192  0.5740  5 Al 2.91-3.20, 1 Co 2.94, 4 Mg 3.01-3.25
Mg  0.5740  0.5740  0.3192  5 Al 2.91-3.20, 1 Co 2.94, 4 Mg 3.01-3.25
Mg  0.6574  0.0125  0.0125  4 Mg 2.95-3.14, 6 Al 3.02-3.19
Mg  0.6911  0.0195  0.4171  5 Al 2.87-3.06, 5 Mg 3.02-3.21
Mg  0.6911  0.4171  0.0195  5 Al 2.87-3.06, 5 Mg 3.02-3.21
Mg  0.7371  0.3280  0.3280  7 Mg 2.95-3.05, 5 Al 3.02-3.06
Al  0.0160  0.1948  0.3742  3 Al 2.60-2.79, 1 Co 2.70, 1 Mg 2.87
Al  0.0160  0.3742  0.1948  3 Al 2.60-2.79, 1 Co 2.70, 1 Mg 2.87
Al  0.1948  0.0160  0.3742  3 Al 2.60-2.79, 1 Co 2.70, 1 Mg 2.87
Al  0.1948  0.3742  0.0160  3 Al 2.60-2.79, 1 Co 2.70, 1 Mg 2.87
Al  0.2126  0.8208  0.8208  3 Al 2.68-2.79, 2 Mg 2.91
Al  0.3742  0.0160  0.1948  3 Al 2.60-2.79, 1 Co 2.70, 1 Mg 2.87
Al  0.3742  0.1948  0.0160  3 Al 2.60-2.79, 1 Co 2.70, 1 Mg 2.87
Al  0.6614  0.6614  0.8528  3 Al 2.68-2.78, 3 Mg 2.91-3.00
Al  0.6614  0.8528  0.6614  3 Al 2.68-2.78, 3 Mg 2.91-3.00
Al  0.8208  0.2126  0.8208  3 Al 2.68-2.79, 2 Mg 2.91
Al  0.8208  0.8208  0.2126  3 Al 2.68-2.79, 2 Mg 2.91
Al  0.8528  0.6614  0.6614  3 Al 2.68-2.78, 3 Mg 2.91-3.00
Co  0.2711  0.2711  0.2711  1 Mg 2.50, 6 Al 2.70

The space-group type is No. 160. Its energy above the most stable polymorph in this dataset is 10.8 meV per atom. Its total DFT energy (no corrections) is -2.66 eV/atom.


# 6
A plane-wave DFT calculation with GGA-PBE was carried out for a relaxed structure of Mg16Al12Co.

Lattice parameters (Å, degrees): 8.9916 8.9916 8.9960 109.34 109.34 109.08
Last column: nearest neighbours and their distance in Å.
Element x y z (fractional)
Mg  0.0000  0.0000  0.0000  12 Al 3.08-3.36, 4 Mg 3.15-3.37
Mg  0.0112  0.6089  0.3282  5 Al 2.88-3.13, 6 Mg 3.03-3.17
Mg  0.0121  0.3280  0.6079  1 Co 2.74, 4 Al 2.85-3.02, 2 Mg 2.94-3.05
Mg  0.0137  0.3572  0.0078  6 Al 3.00-3.17, 4 Mg 3.03-3.15
Mg  0.0196  0.0196  0.3663  1 Co 2.73, 2 Mg 2.94, 2 Al 2.98
Mg  0.3032  0.6889  0.6989  3 Al 2.82-2.98, 5 Mg 3.00-3.15
Mg  0.3280  0.0121  0.6079  1 Co 2.74, 4 Al 2.85-3.02, 2 Mg 2.94-3.05
Mg  0.3367  0.5916  0.9926  5 Al 2.84-3.12, 4 Mg 3.00-3.08
Mg  0.3572  0.0137  0.0078  6 Al 3.00-3.17, 4 Mg 3.03-3.15
Mg  0.4103  0.7199  0.4075  5 Al 2.85-3.17, 6 Mg 3.07-3.14
Mg  0.5916  0.3367  0.9926  5 Al 2.84-3.12, 4 Mg 3.00-3.08
Mg  0.6089  0.0112  0.3282  5 Al 2.88-3.13, 6 Mg 3.03-3.17
Mg  0.6150  0.6150  0.6678  1 Co 2.89, 4 Al 2.98-3.17, 4 Mg 3.08-3.16
Mg  0.6889  0.3032  0.6989  3 Al 2.82-2.98, 5 Mg 3.00-3.15
Mg  0.6978  0.6978  0.3025  5 Al 2.93-3.12, 7 Mg 3.07-3.13
Mg  0.7199  0.4103  0.4075  5 Al 2.85-3.17, 6 Mg 3.07-3.14
Al  0.0104  0.8237  0.6460  3 Al 2.65-2.78, 2 Mg 2.88-2.93
Al  0.0108  0.6418  0.8256  3 Al 2.65-2.73, 2 Mg 2.86-2.95
Al  0.1945  0.3755  0.3865  1 Co 2.49, 3 Al 2.65-2.78
Al  0.1987  0.1987  0.8091  1 Co 2.49, 3 Al 2.75-2.78
Al  0.2037  0.8276  0.1933  3 Al 2.72, 2 Mg 2.85-3.01
Al  0.3675  0.3675  0.1814  3 Al 2.75-2.78, 7 Mg 2.96-3.06
Al  0.3755  0.1945  0.3865  1 Co 2.49, 3 Al 2.65-2.78
Al  0.6418  0.0108  0.8256  3 Al 2.65-2.73, 2 Mg 2.86-2.95
Al  0.6546  0.8361  0.0233  3 Al 2.66-2.73, 3 Mg 2.84-2.98
Al  0.8237  0.0104  0.6460  3 Al 2.65-2.78, 2 Mg 2.88-2.93
Al  0.8276  0.2037  0.1933  3 Al 2.72, 2 Mg 2.85-3.01
Al  0.8361  0.6546  0.0233  3 Al 2.66-2.73, 3 Mg 2.84-2.98
Co  0.3278  0.3278  0.6461  3 Al 2.49, 3 Mg 2.73-2.74

The space-group type is No. 8. Its energy above the most stable polymorph in this dataset is 0.0 meV per atom. Its total DFT energy (no corrections) is -2.67 eV/atom.


# 7
A plane-wave DFT calculation with GGA-PBE was carried out for a relaxed structure of Mg2AlCo.

Lattice parameters (Å, degrees): 4.4230 4.4230 4.4230 60.00 60.00 60.00
Last column: nearest neighbours and their distance in Å.
Element x y z (fractional)
Mg  0.0000  0.0000  0.0000  4 Co 2.71, 4 Mg 2.71
Mg  0.2500  0.2500  0.2500  4 Al 2.71, 4 Mg 2.71
Al  0.5000  0.5000  0.5000  4 Co 2.71, 4 Mg 2.71
Co  0.7500  0.7500  0.7500  4 Al 2.71, 4 Mg 2.71

The space-group type is No. 216. Its total DFT energy (no corrections) is -3.48 eV/atom.


# 8
A plane-wave DFT calculation with GGA-PBE was carried out for a relaxed structure of Mg17Al11Co.

Lattice parameters (Å, degrees): 9.0683 9.0683 8.9196 109.24 109.24 109.69
Last column: nearest neighbours and their distance in Å.
Element x y z (fractional)
Mg  0.0000  0.0000  0.0000  4 Mg 2.97-3.26, 6 Al 3.11-3.13
Mg  0.0004  0.6667  0.3693  5 Al 2.92-3.10, 1 Co 2.94, 4 Mg 2.96-3.10
Mg  0.0012  0.0012  0.3664  1 Co 2.97, 4 Mg 3.04-3.26, 11 Al 3.05-3.24
Mg  0.0040  0.4049  0.0439  5 Al 2.92-3.15, 7 Mg 3.08-3.21
Mg  0.2863  0.6025  0.9580  4 Al 2.89-3.12, 7 Mg 3.02-3.18
Mg  0.3221  0.3221  0.0672  5 Al 2.91-3.15, 7 Mg 3.06-3.18
Mg  0.3228  0.7181  0.6741  5 Al 2.87-3.20, 7 Mg 3.03-3.19
Mg  0.3571  0.3571  0.7039  4 Mg 3.02-3.17, 6 Al 3.03-3.21
Mg  0.4049  0.0040  0.0439  5 Al 2.92-3.15, 7 Mg 3.08-3.21
Mg  0.4087  0.6876  0.3596  4 Al 2.89-3.02, 7 Mg 2.96-3.17, 1 Co 3.22
Mg  0.6025  0.2863  0.9580  4 Al 2.89-3.12, 7 Mg 3.02-3.18
Mg  0.6229  0.6229  0.6422  1 Co 2.79, 2 Al 2.99, 4 Mg 3.00
Mg  0.6667  0.0004  0.3693  5 Al 2.92-3.10, 1 Co 2.94, 4 Mg 2.96-3.10
Mg  0.6876  0.4087  0.3596  4 Al 2.89-3.02, 7 Mg 2.96-3.17, 1 Co 3.22
Mg  0.6886  0.9979  0.7457  2 Al 2.83-2.87, 1 Co 2.86, 5 Mg 2.97-3.16
Mg  0.7181  0.3228  0.6741  5 Al 2.87-3.20, 7 Mg 3.03-3.19
Mg  0.9979  0.6886  0.7457  2 Al 2.83-2.87, 1 Co 2.86, 5 Mg 2.97-3.16
Al  0.0061  0.3718  0.5489  3 Al 2.70-2.76, 3 Mg 2.87-3.02
Al  0.1742  0.9948  0.7189  1 Co 2.51, 2 Al 2.66-2.70
Al  0.1814  0.8174  0.1726  3 Al 2.70-2.75, 3 Mg 2.89-3.01
Al  0.1881  0.3675  0.3547  3 Al 2.66-2.76, 3 Mg 2.89-2.97
Al  0.3675  0.1881  0.3547  3 Al 2.66-2.76, 3 Mg 2.89-2.97
Al  0.3718  0.0061  0.5489  3 Al 2.70-2.76, 3 Mg 2.87-3.02
Al  0.6356  0.8177  0.9944  3 Al 2.70-2.81, 3 Mg 2.87-2.99
Al  0.6525  0.6525  0.2117  1 Co 2.47
Al  0.8174  0.1814  0.1726  3 Al 2.70-2.75, 3 Mg 2.89-3.01
Al  0.8177  0.6356  0.9944  3 Al 2.70-2.81, 3 Mg 2.87-2.99
Al  0.9948  0.1742  0.7189  1 Co 2.51, 2 Al 2.66-2.70
Co  0.8358  0.8358  0.5485  3 Al 2.47-2.51

The space-group type is No. 8. Its total DFT energy (no corrections) is -2.60 eV/atom.


# 9
A plane-wave DFT calculation with GGA-PBE was carried out for a relaxed structure of MgAlCoMo.

Lattice parameters (Å, degrees): 4.3302 4.3302 4.3302 60.00 60.00 60.00
Last column: nearest neighbours and their distance in Å.
Element x y z (fractional)
Mg  0.0000  0.0000  0.0000  4 Mo 2.65, 4 Al 2.65
Al  0.2500  0.2500  0.2500  4 Co 2.65, 4 Mg 2.65
Co  0.5000  0.5000  0.5000  4 Mo 2.65, 4 Al 2.65
Mo  0.7500  0.7500  0.7500  4 Mg 2.65, 4 Co 2.65

The space-group type is No. 216. Its energy above the most stable polymorph in this dataset is 0.0 meV per atom. Its total DFT energy (no corrections) is -5.66 eV/atom.


# 10
A plane-wave DFT calculation with GGA-PBE was carried out for a relaxed structure of MgAlCoRe.

Lattice parameters (Å, degrees): 4.2900 4.2900 4.2900 60.00 60.00 60.00
Last column: nearest neighbours and their distance in Å.
Element x y z (fractional)
Mg  0.0000  0.0000  0.0000  4 Co 2.63, 4 Re 2.63
Al  0.5000  0.5000  0.5000  4 Co 2.63, 4 Re 2.63
Co  0.7500  0.7500  0.7500  4 Mg 2.63, 4 Al 2.63
Re  0.2500  0.2500  0.2500  4 Mg 2.63, 4 Al 2.63

The space-group type is No. 216. Its energy above the most stable polymorph in this dataset is 0.0 meV per atom. Its total DFT energy (no corrections) is -5.99 eV/atom.


# 11
A plane-wave DFT calculation with GGA-PBE was carried out for a relaxed structure of MgAlCoSi.

Lattice parameters (Å, degrees): 4.2472 4.2472 4.2472 60.00 60.00 60.00
Last column: nearest neighbours and their distance in Å.
Element x y z (fractional)
Mg  0.0000  0.0000  0.0000  4 Al 2.60, 4 Si 2.60
Al  0.7500  0.7500  0.7500  4 Co 2.60, 4 Mg 2.60
Co  0.5000  0.5000  0.5000  4 Si 2.60, 4 Al 2.60
Si  0.2500  0.2500  0.2500  4 Co 2.60, 4 Mg 2.60

The space-group type is No. 216. Its energy above the most stable polymorph in this dataset is 0.0 meV per atom. Its total DFT energy (no corrections) is -4.47 eV/atom.


# 12
A plane-wave DFT calculation with GGA-PBE was carried out for a relaxed structure of MgAlCoSi.

Lattice parameters (Å, degrees): 4.2992 4.2992 4.2992 60.00 60.00 60.00
Last column: nearest neighbours and their distance in Å.
Element x y z (fractional)
Mg  0.0000  0.0000  0.0000  4 Co 2.63, 4 Si 2.63
Al  0.5000  0.5000  0.5000  4 Co 2.63, 4 Si 2.63
Co  0.7500  0.7500  0.7500  4 Al 2.63, 4 Mg 2.63
Si  0.2500  0.2500  0.2500  4 Al 2.63, 4 Mg 2.63

The space-group type is No. 216. Its energy above the most stable polymorph in this dataset is 107.4 meV per atom. Its total DFT energy (no corrections) is -4.36 eV/atom.